No. 1
DFT (PBE) results for a geometry-optimized CaPrSc2 structure.

Output
final energy	-56.43	eV for the cell shown
mass density	3.67	g/cm3
energy relative to the lowest polymorph listed for this composition	0.005	eV per atom
N(E_F)	20.0	states/eV/cell
E_form	0.63	eV per formula unit

```
data_CaPrSc2
_cell_length_a 3.5071
_cell_length_b 3.5071
_cell_length_c 34.4849
_cell_angle_alpha 90.00
_cell_angle_beta 90.00
_cell_angle_gamma 120.00
_space_group_name_H-M_alt 'R -3 m'
_space_group_IT_number 166
_space_group_name_Hall '-R 3 2"'
loop_
_atom_site_label
_atom_site_type_symbol
_atom_site_fract_x
_atom_site_fract_y
_atom_site_fract_z
Ca1 Ca 0.0000 0.0000 0.0000
Pr1 Pr 0.0000 0.0000 0.5000
Sc1 Sc 0.0000 0.0000 0.2464
```

No. 2
DFT (PBE) results for a geometry-optimized NaLa2SeO6 structure.

Output
final energy	-132.93	eV for the cell shown
mass density	5.76	g/cm3
formation energy (no corrections)	-212.8	kJ/mol of atoms
N(E_F)	7.5	states/eV/cell

```
data_NaLa2SeO6
_cell_length_a 5.660
_cell_length_b 5.973
_cell_length_c 9.852
_cell_angle_alpha 90.00
_cell_angle_beta 124.60
_cell_angle_gamma 90.00
_space_group_name_H-M_alt 'P 1 21/c 1'
_space_group_IT_number 14
loop_
_space_group_symop_operation_xyz
'x,y,z'
'-x,-y,-z'
'-x,y+1/2,-z+1/2'
'x,-y+1/2,z+1/2'
loop_
_atom_site_label
_atom_site_type_symbol
_atom_site_fract_x
_atom_site_fract_y
_atom_site_fract_z
Na1 Na 0.000 0.000 0.000
La1 La 0.230 0.062 0.747
Se1 Se 0.500 0.000 0.500
O1 O 0.170 0.176 0.451
O2 O 0.265 0.725 0.435
O3 O 0.382 0.046 0.273
```

No. 3
DFT (PBE) results for a geometry-optimized TbSn2As2Rh7 structure.

Output
final energy	-154.63	eV for the cell shown
mass density	9.53	g/cm3
N(E_F)	18.6	states/eV/cell
E_form	-3.92	eV per formula unit

```
data_TbSn2As2Rh7
_cell_length_a 5.555
_cell_length_b 5.532
_cell_length_c 14.493
_cell_angle_alpha 90.00
_cell_angle_beta 97.88
_cell_angle_gamma 90.00
_space_group_name_H-M_alt 'C 1 2/m 1'
_space_group_IT_number 12
loop_
_space_group_symop_operation_xyz
'x,y,z'
'-x,-y,-z'
'-x,y,-z'
'x,-y,z'
'x+1/2,y+1/2,z'
'-x+1/2,-y+1/2,-z'
'-x+1/2,y+1/2,-z'
'x+1/2,-y+1/2,z'
loop_
_atom_site_label
_atom_site_type_symbol
_atom_site_fract_x
_atom_site_fract_y
_atom_site_fract_z
Tb1 Tb 0.000 0.000 0.000
Sn1 Sn 0.123 0.000 0.399
As1 As 0.088 0.500 0.251
Rh1 Rh 0.000 0.500 0.000
Rh2 Rh 0.136 0.500 0.422
Rh3 Rh 0.197 0.250 0.849
```

No. 4
DFT (PBE) results for a geometry-optimized CePr2Sn structure.

Output
final energy	-81.41	eV for the cell shown
mass density	7.44	g/cm3
energy relative to the lowest polymorph listed for this composition	0.190	eV per atom
N(E_F)	32.6	states/eV/cell
E_form	-0.86	eV per formula unit

```
data_CePr2Sn
_cell_length_a 7.845
_cell_length_b 7.845
_cell_length_c 7.845
_cell_angle_alpha 90.00
_cell_angle_beta 90.00
_cell_angle_gamma 90.00
_space_group_name_H-M_alt 'F m -3 m'
_space_group_IT_number 225
_space_group_name_Hall '-F 4 2 3'
loop_
_atom_site_label
_atom_site_type_symbol
_atom_site_fract_x
_atom_site_fract_y
_atom_site_fract_z
Ce1 Ce 0.000 0.000 0.000
Pr1 Pr 0.250 0.250 0.250
Sn1 Sn 0.000 0.000 0.500
```

No. 5
DFT (PBE) results for a geometry-optimized SrReOs structure.

Output
final energy	-23.94	eV for the cell shown
mass density	10.24	g/cm3
energy relative to the lowest polymorph listed for this composition	0.000	eV per atom
N(E_F)	4.0	states/eV/cell
E_form	1.42	eV per formula unit

```
data_SrReOs
_cell_length_a 4.1409
_cell_length_b 4.1409
_cell_length_c 5.0665
_cell_angle_alpha 90.00
_cell_angle_beta 90.00
_cell_angle_gamma 120.00
_space_group_name_H-M_alt 'P 3 m 1'
_space_group_IT_number 156
loop_
_space_group_symop_operation_xyz
'x,y,z'
'-y,x-y,z'
'-x+y,-x,z'
'-y,-x,z'
'-x+y,y,z'
'x,x-y,z'
loop_
_atom_site_label
_atom_site_type_symbol
_atom_site_fract_x
_atom_site_fract_y
_atom_site_fract_z
Sr1 Sr 0.0000 0.0000 0.0000
Re1 Re 0.3333 0.6667 0.5252
Os1 Os 0.6667 0.3333 0.4682
```

No. 6
DFT (PBE) results for a geometry-optimized Al2CrIn2 structure.

Output
final energy	-38.57	eV for the cell shown
mass density	5.61	g/cm3
energy relative to the lowest polymorph listed for this composition	0.191	eV per atom
N(E_F)	7.6	states/eV/cell
E_form	3.30	eV per formula unit

```
data_Al2CrIn2
_cell_length_a 7.115
_cell_length_b 7.115
_cell_length_c 3.922
_cell_angle_alpha 90.00
_cell_angle_beta 90.00
_cell_angle_gamma 90.00
_space_group_name_H-M_alt 'P 4/m b m'
_space_group_IT_number 127
_space_group_name_Hall '-P 4 2ab'
loop_
_atom_site_label
_atom_site_type_symbol
_atom_site_fract_x
_atom_site_fract_y
_atom_site_fract_z
Al1 Al 0.151 0.349 0.000
Cr1 Cr 0.000 0.000 0.500
In1 In 0.156 0.656 0.500
```

No. 7
DFT (PBE) results for a geometry-optimized Li2CdIn6 structure.

Output
final energy	-44.27	eV for the cell shown
mass density	6.33	g/cm3
energy relative to the lowest polymorph listed for this composition	0.000	eV per atom
N(E_F)	6.4	states/eV/cell
E_form	-0.96	eV per formula unit

```
data_Li2CdIn6
_cell_length_a 13.678
_cell_length_b 4.581
_cell_length_c 7.388
_cell_angle_alpha 90.00
_cell_angle_beta 112.54
_cell_angle_gamma 90.00
_space_group_name_H-M_alt 'C 1 2/m 1'
_space_group_IT_number 12
loop_
_space_group_symop_operation_xyz
'x,y,z'
'-x,-y,-z'
'-x,y,-z'
'x,-y,z'
'x+1/2,y+1/2,z'
'-x+1/2,-y+1/2,-z'
'-x+1/2,y+1/2,-z'
'x+1/2,-y+1/2,z'
loop_
_atom_site_label
_atom_site_type_symbol
_atom_site_fract_x
_atom_site_fract_y
_atom_site_fract_z
Li1 Li 0.058 0.000 0.330
Cd1 Cd 0.000 0.500 0.000
In1 In 0.108 0.500 0.671
In2 In 0.156 0.000 0.996
In3 In 0.221 0.500 0.341
```

No. 8
DFT (PBE) results for a geometry-optimized SrMgAs2Pd5 structure.

Output
final energy	-42.84	eV for the cell shown
mass density	7.06	g/cm3
N(E_F)	4.5	states/eV/cell
E_form	-4.30	eV per formula unit

```
data_SrMgAs2Pd5
_cell_length_a 4.779
_cell_length_b 4.779
_cell_length_c 8.174
_cell_angle_alpha 90.00
_cell_angle_beta 90.00
_cell_angle_gamma 90.00
_space_group_name_H-M_alt 'P 4/m m m'
_space_group_IT_number 123
_space_group_name_Hall '-P 4 2'
loop_
_atom_site_label
_atom_site_type_symbol
_atom_site_fract_x
_atom_site_fract_y
_atom_site_fract_z
Sr1 Sr 0.000 0.000 0.000
Mg1 Mg 0.000 0.000 0.500
As1 As 0.500 0.500 0.293
Pd1 Pd 0.000 0.500 0.327
Pd2 Pd 0.500 0.500 0.000
```

No. 9
DFT (PBE) results for a geometry-optimized CrAs2Cl structure.

Output
final energy	-40.71	eV for the cell shown
mass density	4.33	g/cm3
energy relative to the lowest polymorph listed for this composition	0.335	eV per atom
formation energy (no corrections)	9.9	kJ/mol of atoms
N(E_F)	4.8	states/eV/cell

```
data_CrAs2Cl
_cell_length_a 3.581
_cell_length_b 5.941
_cell_length_c 8.552
_cell_angle_alpha 90.00
_cell_angle_beta 90.00
_cell_angle_gamma 90.00
_space_group_name_H-M_alt 'C m m 2'
_space_group_IT_number 35
loop_
_space_group_symop_operation_xyz
'x,y,z'
'-x,-y,z'
'-x,y,z'
'x,-y,z'
'x+1/2,y+1/2,z'
'-x+1/2,-y+1/2,z'
'-x+1/2,y+1/2,z'
'x+1/2,-y+1/2,z'
loop_
_atom_site_label
_atom_site_type_symbol
_atom_site_fract_x
_atom_site_fract_y
_atom_site_fract_z
Cr1 Cr 0.000 0.000 0.000
As1 As 0.000 0.000 0.582
As2 As 0.000 0.500 0.785
Cl1 Cl 0.000 0.500 0.189
```

No. 10
DFT (PBE) results for a geometry-optimized AcDy7Er3 structure.

Output
final energy	-47.61	eV for the cell shown
mass density	8.24	g/cm3
energy relative to the lowest polymorph listed for this composition	0.071	eV per atom
N(E_F)	17.6	states/eV/cell
E_form	2.40	eV per formula unit

```
data_AcDy7Er3
_cell_length_a 7.0906
_cell_length_b 7.0906
_cell_length_c 8.6354
_cell_angle_alpha 90.00
_cell_angle_beta 90.00
_cell_angle_gamma 120.00
_space_group_name_H-M_alt 'P 3 m 1'
_space_group_IT_number 156
loop_
_space_group_symop_operation_xyz
'x,y,z'
'-y,x-y,z'
'-x+y,-x,z'
'-y,-x,z'
'-x+y,y,z'
'x,x-y,z'
loop_
_atom_site_label
_atom_site_type_symbol
_atom_site_fract_x
_atom_site_fract_y
_atom_site_fract_z
Ac1 Ac 0.0000 0.0000 0.0000
Dy1 Dy 0.0029 0.5014 0.9978
Dy2 Dy 0.3326 0.1663 0.3341
Dy3 Dy 0.3333 0.6667 0.3296
Er1 Er 0.1688 0.3375 0.6593
```

No. 11
DFT (PBE) results for a geometry-optimized TlCd2Cu structure.

Output
final energy	-14.92	eV for the cell shown
mass density	9.32	g/cm3
energy relative to the lowest polymorph listed for this composition	0.121	eV per atom
N(E_F)	2.8	states/eV/cell
E_form	0.83	eV per formula unit

```
data_TlCd2Cu
_cell_length_a 5.805
_cell_length_b 8.032
_cell_length_c 3.765
_cell_angle_alpha 90.00
_cell_angle_beta 90.00
_cell_angle_gamma 90.00
_space_group_name_H-M_alt 'C m m m'
_space_group_IT_number 65
_space_group_name_Hall '-C 2 2'
loop_
_atom_site_label
_atom_site_type_symbol
_atom_site_fract_x
_atom_site_fract_y
_atom_site_fract_z
Tl1 Tl 0.000 0.000 0.000
Cd1 Cd 0.250 0.250 0.500
Cu1 Cu 0.000 0.500 0.000
```

No. 12
DFT (PBE) results for a geometry-optimized BaLiBi2 structure.

Output
final energy	-53.11	eV for the cell shown
mass density	6.94	g/cm3
energy relative to the lowest polymorph listed for this composition	0.207	eV per atom
N(E_F)	10.8	states/eV/cell
E_form	-1.68	eV per formula unit

```
data_BaLiBi2
_cell_length_a 8.132
_cell_length_b 8.132
_cell_length_c 8.132
_cell_angle_alpha 90.00
_cell_angle_beta 90.00
_cell_angle_gamma 90.00
_space_group_name_H-M_alt 'F m -3 m'
_space_group_IT_number 225
_space_group_name_Hall '-F 4 2 3'
loop_
_atom_site_label
_atom_site_type_symbol
_atom_site_fract_x
_atom_site_fract_y
_atom_site_fract_z
Ba1 Ba 0.000 0.000 0.000
Li1 Li 0.000 0.000 0.500
Bi1 Bi 0.250 0.250 0.250
```